# ZnCu2Ir

ZnCu2Ir after structural relaxation (PBE, Alexandria via LeMat-Bulk).

a = 2.682 Å, b = 3.687 Å, c = 5.338 Å
α = 90.00°, β = 90.00°, γ = 90.00°
Sites, in units of the cell vectors:
1 Ir 0.000 0.000 0.499
2 Cu 0.500 0.500 0.242
3 Cu 0.000 0.000 0.005
4 Zn 0.500 0.500 0.754

Values from the calculation:
V   13.2 Å³/atom
Space group   Pmm2 (25)
E_form   -0.014 eV per atom